# Mg2BeRu, optimized geometry, DFT PBE
# Raw total energy   -16.5 eV per formula unit
# Space group   P4mm (99)
# Density of states at the Fermi level   2.8 states/eV/cell
# DFT formation energy   -0.080 eV per atom
data_Mg2BeRu
_chemical_formula_sum 'Mg2 Be1 Ru1'
_cell_length_a 3.059
_cell_length_b 3.059
_cell_length_c 6.849
_cell_angle_alpha 90.00
_cell_angle_beta 90.00
_cell_angle_gamma 90.00
_symmetry_space_group_name_H-M 'P 1'
_symmetry_Int_Tables_number 1
_symmetry_space_group_name_Hall 'P 1'
loop_
_atom_site_label
_atom_site_type_symbol
_atom_site_fract_x
_atom_site_fract_y
_atom_site_fract_z
_atom_site_occupancy
Ru1 Ru 0.000 0.000 0.564 1
Mg1 Mg 0.500 0.500 0.306 1
Mg2 Mg 0.000 0.000 0.952 1
Be1 Be 0.500 0.500 0.678 1



# PrHo2Ir, optimized geometry, DFT PBE
# Raw total energy   -24.9 eV per formula unit
# Space group   Pnma (62)
# Density of states at the Fermi level   17.5 states/eV/cell
# DFT formation energy   -0.538 eV per atom
data_PrHo2Ir
_chemical_formula_sum 'Pr4 Ho8 Ir4'
_cell_length_a 6.484
_cell_length_b 7.301
_cell_length_c 9.379
_cell_angle_alpha 90.00
_cell_angle_beta 90.00
_cell_angle_gamma 90.00
_symmetry_space_group_name_H-M 'P 1'
_symmetry_Int_Tables_number 1
_symmetry_space_group_name_Hall 'P 1'
loop_
_atom_site_label
_atom_site_type_symbol
_atom_site_fract_x
_atom_site_fract_y
_atom_site_fract_z
_atom_site_occupancy
Ho1 Ho 0.832 0.325 0.565 1
Ho2 Ho 0.832 0.325 0.935 1
Ho3 Ho 0.168 0.675 0.435 1
Ho4 Ho 0.668 0.825 0.935 1
Ho5 Ho 0.668 0.825 0.565 1
Ho6 Ho 0.168 0.675 0.065 1
Ho7 Ho 0.332 0.175 0.435 1
Ho8 Ho 0.332 0.175 0.065 1
Pr1 Pr 0.867 0.034 0.250 1
Pr2 Pr 0.367 0.466 0.750 1
Pr3 Pr 0.133 0.966 0.750 1
Pr4 Pr 0.633 0.534 0.250 1
Ir1 Ir 0.069 0.383 0.250 1
Ir2 Ir 0.431 0.883 0.250 1
Ir3 Ir 0.569 0.117 0.750 1
Ir4 Ir 0.931 0.617 0.750 1



# Pm12ErCd3, optimized geometry, DFT PBE
# Raw total energy   -65.5 eV per formula unit
# Space group   P4/mmm (123)
# Density of states at the Fermi level   24.2 states/eV/cell
# DFT formation energy   -0.072 eV per atom
data_Pm12ErCd3
_chemical_formula_sum 'Pm12 Er1 Cd3'
_cell_length_a 4.972
_cell_length_b 4.972
_cell_length_c 20.152
_cell_angle_alpha 90.00
_cell_angle_beta 90.00
_cell_angle_gamma 90.00
_symmetry_space_group_name_H-M 'P 1'
_symmetry_Int_Tables_number 1
_symmetry_space_group_name_Hall 'P 1'
loop_
_atom_site_label
_atom_site_type_symbol
_atom_site_fract_x
_atom_site_fract_y
_atom_site_fract_z
_atom_site_occupancy
Pm1 Pm 0.500 0.500 0.254 1
Pm2 Pm 0.500 0.500 0.746 1
Pm3 Pm 0.500 0.000 0.130 1
Pm4 Pm 0.500 0.500 0.000 1
Pm5 Pm 0.500 0.500 0.500 1
Pm6 Pm 0.000 0.500 0.870 1
Pm7 Pm 0.500 0.000 0.377 1
Pm8 Pm 0.500 0.000 0.870 1
Pm9 Pm 0.500 0.000 0.623 1
Pm10 Pm 0.000 0.500 0.623 1
Pm11 Pm 0.000 0.500 0.377 1
Pm12 Pm 0.000 0.500 0.130 1
Cd1 Cd 0.000 0.000 0.500 1
Cd2 Cd 0.000 0.000 0.256 1
Cd3 Cd 0.000 0.000 0.744 1
Er1 Er 0.000 0.000 0.000 1



# Dy2Nb3Si4, optimized geometry, DFT PBE
# Raw total energy   -68.6 eV per formula unit
# Space group   P2_1/c (14)
# Density of states at the Fermi level   9.1 states/eV/cell
# Formation energy from raw total energies   -7.457 eV/f.u.
data_Dy2Nb3Si4
_chemical_formula_sum 'Dy4 Nb6 Si8'
_cell_length_a 6.906
_cell_length_b 7.057
_cell_length_c 7.065
_cell_angle_alpha 90.00
_cell_angle_beta 90.00
_cell_angle_gamma 108.81
_symmetry_space_group_name_H-M 'P 1'
_symmetry_Int_Tables_number 1
_symmetry_space_group_name_Hall 'P 1'
loop_
_atom_site_label
_atom_site_type_symbol
_atom_site_fract_x
_atom_site_fract_y
_atom_site_fract_z
_atom_site_occupancy
Dy1 Dy 0.565 0.188 0.330 1
Dy2 Dy 0.935 0.812 0.830 1
Dy3 Dy 0.065 0.188 0.170 1
Dy4 Dy 0.435 0.812 0.670 1
Si1 Si 0.632 0.917 0.037 1
Si2 Si 0.132 0.917 0.463 1
Si3 Si 0.872 0.494 0.125 1
Si4 Si 0.868 0.083 0.537 1
Si5 Si 0.628 0.506 0.625 1
Si6 Si 0.368 0.083 0.963 1
Si7 Si 0.372 0.494 0.375 1
Si8 Si 0.128 0.506 0.875 1
Nb1 Nb 0.748 0.256 0.823 1
Nb2 Nb 0.248 0.256 0.677 1
Nb3 Nb 0.752 0.744 0.323 1
Nb4 Nb 0.252 0.744 0.177 1
Nb5 Nb 0.500 0.500 0.000 1
Nb6 Nb 0.000 0.500 0.500 1



# LiCu3Ge3, optimized geometry, DFT PBE
# Raw total energy   -27.6 eV per formula unit
# Space group   R-3 (148)
# Density of states at the Fermi level   5.8 states/eV/cell
# DFT formation energy   0.068 eV per atom
data_LiCu3Ge3
_chemical_formula_sum 'Li2 Cu6 Ge6'
_cell_length_a 7.287
_cell_length_b 7.287
_cell_length_c 6.488
_cell_angle_alpha 55.84
_cell_angle_beta 55.84
_cell_angle_gamma 60.00
_symmetry_space_group_name_H-M 'P 1'
_symmetry_Int_Tables_number 1
_symmetry_space_group_name_Hall 'P 1'
loop_
_atom_site_label
_atom_site_type_symbol
_atom_site_fract_x
_atom_site_fract_y
_atom_site_fract_z
_atom_site_occupancy
Li1 Li 0.667 0.667 0.000 1
Li2 Li 0.333 0.333 0.000 1
Cu1 Cu 0.740 0.129 0.677 1
Cu2 Cu 0.871 0.545 0.323 1
Cu3 Cu 0.455 0.740 0.677 1
Cu4 Cu 0.260 0.871 0.323 1
Cu5 Cu 0.129 0.455 0.677 1
Cu6 Cu 0.545 0.260 0.323 1
Ge1 Ge 0.626 0.950 0.190 1
Ge2 Ge 0.766 0.374 0.810 1
Ge3 Ge 0.950 0.234 0.190 1
Ge4 Ge 0.050 0.766 0.810 1
Ge5 Ge 0.374 0.050 0.810 1
Ge6 Ge 0.234 0.626 0.190 1



# ErVRh2, optimized geometry, DFT PBE
# Raw total energy   -30.1 eV per formula unit
# Space group   P4/mmm (123)
# Density of states at the Fermi level   5.6 states/eV/cell
# DFT formation energy   -0.432 eV per atom
data_ErVRh2
_chemical_formula_sum 'Er1 V1 Rh2'
_cell_length_a 3.138
_cell_length_b 4.630
_cell_length_c 4.630
_cell_angle_alpha 90.00
_cell_angle_beta 90.00
_cell_angle_gamma 90.00
_symmetry_space_group_name_H-M 'P 1'
_symmetry_Int_Tables_number 1
_symmetry_space_group_name_Hall 'P 1'
loop_
_atom_site_label
_atom_site_type_symbol
_atom_site_fract_x
_atom_site_fract_y
_atom_site_fract_z
_atom_site_occupancy
Er1 Er 0.500 0.500 0.500 1
Rh1 Rh 0.000 0.500 0.000 1
Rh2 Rh 0.000 0.000 0.500 1
V1 V 0.500 0.000 0.000 1



# GdMgAgPt, optimized geometry, DFT PBE
# Raw total energy   -27.2 eV per formula unit
# Space group   F-43m (216)
# Density of states at the Fermi level   2.7 states/eV/cell
# DFT formation energy   -0.650 eV per atom
data_GdMgAgPt
_chemical_formula_sum 'Gd1 Mg1 Ag1 Pt1'
_cell_length_a 4.877
_cell_length_b 4.877
_cell_length_c 4.877
_cell_angle_alpha 60.00
_cell_angle_beta 60.00
_cell_angle_gamma 60.00
_symmetry_space_group_name_H-M 'P 1'
_symmetry_Int_Tables_number 1
_symmetry_space_group_name_Hall 'P 1'
loop_
_atom_site_label
_atom_site_type_symbol
_atom_site_fract_x
_atom_site_fract_y
_atom_site_fract_z
_atom_site_occupancy
Gd1 Gd 0.000 0.000 0.000 1
Pt1 Pt 0.250 0.250 0.250 1
Ag1 Ag 0.750 0.750 0.750 1
Mg1 Mg 0.500 0.500 0.500 1



# CaTaCd4, optimized geometry, DFT PBE
# Raw total energy   -15.9 eV per formula unit
# Space group   F-43m (216)
# Density of states at the Fermi level   7.6 states/eV/cell
# DFT formation energy   0.274 eV per atom
data_CaTaCd4
_chemical_formula_sum 'Ca1 Ta1 Cd4'
_cell_length_a 5.756
_cell_length_b 5.756
_cell_length_c 5.756
_cell_angle_alpha 60.00
_cell_angle_beta 60.00
_cell_angle_gamma 60.00
_symmetry_space_group_name_H-M 'P 1'
_symmetry_Int_Tables_number 1
_symmetry_space_group_name_Hall 'P 1'
loop_
_atom_site_label
_atom_site_type_symbol
_atom_site_fract_x
_atom_site_fract_y
_atom_site_fract_z
_atom_site_occupancy
Cd1 Cd 0.376 0.873 0.376 1
Cd2 Cd 0.376 0.376 0.873 1
Cd3 Cd 0.376 0.376 0.376 1
Cd4 Cd 0.873 0.376 0.376 1
Ta1 Ta 0.750 0.750 0.750 1
Ca1 Ca 0.000 0.000 0.000 1



# LiTm3Tl3, optimized geometry, DFT PBE
# Raw total energy   -24.2 eV per formula unit
# Space group   C2/m (12)
# Density of states at the Fermi level   9.1 states/eV/cell
# DFT formation energy   -0.246 eV per atom
data_LiTm3Tl3
_chemical_formula_sum 'Li2 Tm6 Tl6'
_cell_length_a 4.592
_cell_length_b 6.075
_cell_length_c 14.219
_cell_angle_alpha 83.28
_cell_angle_beta 80.71
_cell_angle_gamma 67.79
_symmetry_space_group_name_H-M 'P 1'
_symmetry_Int_Tables_number 1
_symmetry_space_group_name_Hall 'P 1'
loop_
_atom_site_label
_atom_site_type_symbol
_atom_site_fract_x
_atom_site_fract_y
_atom_site_fract_z
_atom_site_occupancy
Tm1 Tm 0.534 0.317 0.615 1
Tm2 Tm 0.735 0.751 0.779 1
Tm3 Tm 0.591 0.733 0.084 1
Tm4 Tm 0.409 0.267 0.916 1
Tm5 Tm 0.466 0.683 0.385 1
Tm6 Tm 0.265 0.249 0.221 1
Tl1 Tl 0.860 0.725 0.555 1
Tl2 Tl 0.977 0.808 0.239 1
Tl3 Tl 0.869 0.190 0.072 1
Tl4 Tl 0.023 0.192 0.761 1
Tl5 Tl 0.131 0.810 0.928 1
Tl6 Tl 0.140 0.275 0.445 1
Li1 Li 0.239 0.919 0.603 1
Li2 Li 0.761 0.081 0.397 1



# Ac2ScAsO8, optimized geometry, DFT PBE
# Raw total energy   -83.3 eV per formula unit
# Space group   P-3m1 (164)
# Density of states at the Fermi level   1.5 states/eV/cell
# Formation energy from raw total energies   -24.397 eV/f.u.
data_Ac2ScAsO8
_chemical_formula_sum 'Ac2 Sc1 As1 O8'
_cell_length_a 5.794
_cell_length_b 5.794
_cell_length_c 5.790
_cell_angle_alpha 90.00
_cell_angle_beta 90.00
_cell_angle_gamma 120.00
_symmetry_space_group_name_H-M 'P 1'
_symmetry_Int_Tables_number 1
_symmetry_space_group_name_Hall 'P 1'
loop_
_atom_site_label
_atom_site_type_symbol
_atom_site_fract_x
_atom_site_fract_y
_atom_site_fract_z
_atom_site_occupancy
O1 O 0.853 0.147 0.804 1
O2 O 0.707 0.853 0.196 1
O3 O 0.293 0.147 0.804 1
O4 O 0.147 0.293 0.196 1
O5 O 0.147 0.853 0.196 1
O6 O 0.853 0.707 0.804 1
O7 O 0.667 0.333 0.498 1
O8 O 0.333 0.667 0.502 1
Ac1 Ac 0.667 0.333 0.137 1
Ac2 Ac 0.333 0.667 0.863 1
Sc1 Sc 0.000 0.000 0.500 1
As1 As 0.000 0.000 0.000 1